[1]
# PBE Pm2DyNi, relaxed
data_Pm2DyNi
_space_group_name_H-M_alt 'R 3 m'
_space_group_IT_number 160
_space_group_name_Hall 'R 3 -2"'
_cell_length_a 3.8246
_cell_length_b 3.8246
_cell_length_c 27.4879
_cell_angle_alpha 90.00
_cell_angle_beta 90.00
_cell_angle_gamma 120.00
loop_
_atom_site_label
_atom_site_type_symbol
_atom_site_fract_x
_atom_site_fract_y
_atom_site_fract_z
Pm1 Pm 0.0000 0.0000 0.0000
Pm2 Pm 0.0000 0.0000 0.2110
Dy1 Dy 0.0000 0.0000 0.4394
Ni1 Ni 0.0000 0.0000 0.6051
# Crystal system: trigonal
# DFT formation energy, eV per atom: -0.040
# E, eV/atom: -5.011

=====

[2]
# PBE PmDy12Ni6, relaxed
data_PmDy12Ni6
_space_group_name_H-M_alt 'I m -3'
_space_group_IT_number 204
_space_group_name_Hall '-I 2 2 3'
_cell_length_a 9.841
_cell_length_b 9.841
_cell_length_c 9.841
_cell_angle_alpha 90.00
_cell_angle_beta 90.00
_cell_angle_gamma 90.00
loop_
_atom_site_label
_atom_site_type_symbol
_atom_site_fract_x
_atom_site_fract_y
_atom_site_fract_z
Pm1 Pm 0.000 0.000 0.000
Dy1 Dy 0.000 0.311 0.184
Ni1 Ni 0.000 0.124 0.500
# Crystal system: cubic
# DFT formation energy, eV per atom: -0.241
# E, eV/atom: -5.223

=====

[3]
# PBE PmDyNiPt, relaxed
data_PmDyNiPt
_space_group_name_H-M_alt 'F -4 3 m'
_space_group_IT_number 216
_space_group_name_Hall 'F -4 2 3'
_cell_length_a 6.987
_cell_length_b 6.987
_cell_length_c 6.987
_cell_angle_alpha 90.00
_cell_angle_beta 90.00
_cell_angle_gamma 90.00
loop_
_atom_site_label
_atom_site_type_symbol
_atom_site_fract_x
_atom_site_fract_y
_atom_site_fract_z
Pm1 Pm 0.000 0.000 0.000
Dy1 Dy 0.000 0.000 0.500
Ni1 Ni 0.250 0.250 0.250
Pt1 Pt 0.250 0.250 0.750
# Crystal system: cubic
# DFT formation energy, eV per atom: -0.730
# E, eV/atom: -6.024

=====

[4]
# PBE PmDyNiPt, relaxed
data_PmDyNiPt
_space_group_name_H-M_alt 'A m m 2'
_space_group_IT_number 38
_space_group_name_Hall 'A 2 -2'
_cell_length_a 4.411
_cell_length_b 3.879
_cell_length_c 10.337
_cell_angle_alpha 90.00
_cell_angle_beta 90.00
_cell_angle_gamma 90.00
loop_
_atom_site_label
_atom_site_type_symbol
_atom_site_fract_x
_atom_site_fract_y
_atom_site_fract_z
Pm1 Pm 0.000 0.000 0.000
Dy1 Dy 0.500 0.000 0.720
Ni1 Ni 0.000 0.000 0.278
Pt1 Pt 0.500 0.000 0.434
# Crystal system: orthorhombic
# DFT formation energy, eV per atom: -0.815
# E, eV/atom: -6.109

=====

[5]
# PBE PmDyNiRu, relaxed
data_PmDyNiRu
_space_group_name_H-M_alt 'A m m 2'
_space_group_IT_number 38
_space_group_name_Hall 'A 2 -2'
_cell_length_a 4.040
_cell_length_b 4.005
_cell_length_c 10.661
_cell_angle_alpha 90.00
_cell_angle_beta 90.00
_cell_angle_gamma 90.00
loop_
_atom_site_label
_atom_site_type_symbol
_atom_site_fract_x
_atom_site_fract_y
_atom_site_fract_z
Pm1 Pm 0.000 0.000 0.000
Dy1 Dy 0.500 0.000 0.286
Ni1 Ni 0.500 0.000 0.578
Ru1 Ru 0.000 0.000 0.717
# Crystal system: orthorhombic
# DFT formation energy, eV per atom: -0.315
# E, eV/atom: -6.417

=====

[6]
# PBE PmDyNiRu, relaxed
data_PmDyNiRu
_space_group_name_H-M_alt 'F -4 3 m'
_space_group_IT_number 216
_space_group_name_Hall 'F -4 2 3'
_cell_length_a 6.876
_cell_length_b 6.876
_cell_length_c 6.876
_cell_angle_alpha 90.00
_cell_angle_beta 90.00
_cell_angle_gamma 90.00
loop_
_atom_site_label
_atom_site_type_symbol
_atom_site_fract_x
_atom_site_fract_y
_atom_site_fract_z
Pm1 Pm 0.000 0.000 0.000
Dy1 Dy 0.000 0.000 0.500
Ni1 Ni 0.250 0.250 0.250
Ru1 Ru 0.250 0.250 0.750
# Crystal system: cubic
# DFT formation energy, eV per atom: -0.298
# E, eV/atom: -6.400